# 1
{"formula": "PrHo5Er4", "functional": "GGA-PBE", "state": "optimized geometry", "rho_g_cm3": 8.588, "de_polymorph_ev_per_fu": 0.000, "sg": "P-1", "ef_ev_per_atom": 0.064, "lattice": [[3.543, 0.000, 0.000], [-1.571, 6.438, 0.000], [-0.859, -2.423, 13.857]], "species": ["Pr", "Ho", "Ho", "Ho", "Ho", "Ho", "Er", "Er", "Er", "Er"], "frac_coords": [[0.000, 0.000, 0.000], [0.205, 0.881, 0.584], [0.493, 0.427, 0.614], [0.500, 0.500, 0.000], [0.507, 0.573, 0.386], [0.795, 0.119, 0.416], [0.110, 0.808, 0.217], [0.204, 0.730, 0.803], [0.796, 0.270, 0.197], [0.890, 0.192, 0.783]]}

---

# 2
{"formula": "AcTmSn2", "functional": "GGA-PBE", "state": "optimized geometry", "rho_g_cm3": 8.184, "sg": "C2/m", "ef_ev_per_atom": -0.586, "lattice": [[4.671, -2.342, 0.000], [4.671, 2.342, 0.000], [-2.422, 0.000, 5.873]], "species": ["Ac", "Tm", "Sn", "Sn"], "frac_coords": [[0.000, 0.000, 0.000], [0.500, 0.500, 0.500], [0.236, 0.236, 0.689], [0.764, 0.764, 0.311]]}

---

# 3
{"formula": "Pr3Si6AgPd2", "functional": "GGA-PBE", "state": "optimized geometry", "rho_g_cm3": 6.039, "raw_formation_energy_ev_per_fu": -4.41, "sg": "P-3m1", "lattice": [[5.932, 0.000, 0.000], [-2.966, 5.137, 0.000], [0.000, 0.000, 8.229]], "species": ["Pr", "Pr", "Pr", "Si", "Si", "Si", "Si", "Si", "Si", "Ag", "Pd", "Pd"], "frac_coords": [[0.000, 0.000, 0.000], [0.333, 0.667, 0.621], [0.667, 0.333, 0.379], [0.197, 0.395, 0.278], [0.197, 0.803, 0.278], [0.395, 0.197, 0.722], [0.605, 0.803, 0.278], [0.803, 0.197, 0.722], [0.803, 0.605, 0.722], [0.000, 0.000, 0.500], [0.333, 0.667, 0.025], [0.667, 0.333, 0.975]]}

---

> Number 2 is which compound?

AcTmSn2